This record from Alexandria via LeMat-Bulk describes a relaxed CsV2ReO8 crystal. The functional is PBE+U.

POSCAR file:
```
CsV2ReO8
1.0
-5.458 -0.543 1.194
1.879 -1.199 -5.152
1.317 -8.059 2.355
Cs V Re O
1 2 1 8
direct
0.000 0.000 0.000
0.667 0.333 0.296
0.333 0.667 0.704
0.000 0.000 0.500
0.333 0.667 0.900
0.322 0.161 0.369
0.839 0.161 0.369
0.667 0.333 0.100
0.161 0.839 0.631
0.678 0.839 0.631
0.161 0.322 0.631
0.839 0.678 0.369
```

- final energy (eV/atom) = -7.471
- M_tot (μB per formula unit) = 0.9